[1]
DFT (PBE) results for an optimized crystal structure of CsKIrO4.

D(E_F) ... 0.9873 states/eV per atom
Formation energy (no corrections) ... -7.31 eV per formula unit
ρ ... 4.0 g/cm3
VASP energy ... -5.42 eV per atom
Magnetic moment ... 1.02 μB/f.u.

Unit cell a=6.6380 b=6.6380 c=8.0169 alpha=90.00 beta=90.00 gamma=90.00
Fractional positions:
Cs: 0.0000 0.0000 0.0000
Cs: 0.5000 0.5000 0.5000
K: 0.0000 0.0000 0.5000
K: 0.5000 0.5000 0.0000
Ir: 0.0000 0.5000 0.7500
Ir: 0.5000 0.0000 0.2500
O: 0.1652 0.2840 0.7121
O: 0.2160 0.6652 0.7879
O: 0.2840 0.8348 0.2879
O: 0.3348 0.2160 0.2121
O: 0.6652 0.7840 0.2121
O: 0.7160 0.1652 0.2879
O: 0.7840 0.3348 0.7879
O: 0.8348 0.7160 0.7121

[2]
DFT (PBE) results for an optimized crystal structure of KTi2Pt.

D(E_F) ... 3.0792 states/eV per atom
ρ ... 7.5 g/cm3
Formation energy from the elements ... 0.4320 eV per atom
Energy above the lowest structure with this stoichiometry ... 0 meV/atom
VASP energy ... -5.30 eV per atom
Magnetic moment ... 0.00 μB/f.u.

Unit cell a=6.6441 b=6.6441 c=6.6441 alpha=90.00 beta=90.00 gamma=90.00
Fractional positions:
K: 0.0000 0.0000 0.0000
K: 0.0000 0.5000 0.5000
K: 0.5000 0.0000 0.5000
K: 0.5000 0.5000 0.0000
Ti: 0.2500 0.2500 0.2500
Ti: 0.2500 0.2500 0.7500
Ti: 0.2500 0.7500 0.2500
Ti: 0.2500 0.7500 0.7500
Ti: 0.7500 0.2500 0.2500
Ti: 0.7500 0.2500 0.7500
Ti: 0.7500 0.7500 0.2500
Ti: 0.7500 0.7500 0.7500
Pt: 0.0000 0.0000 0.5000
Pt: 0.0000 0.5000 0.0000
Pt: 0.5000 0.0000 0.0000
Pt: 0.5000 0.5000 0.5000

[3]
DFT (PBE) results for an optimized crystal structure of SnAsSe2.

D(E_F) ... 0.4228 states/eV per atom
Formation energy (no corrections) ... 0.61 eV per formula unit
ρ ... 6.6 g/cm3
VASP energy ... -3.75 eV per atom
Magnetic moment ... 0.00 μB/f.u.

Unit cell a=7.0714 b=7.0714 c=7.0714 alpha=90.00 beta=90.00 gamma=90.00
Fractional positions:
Sn: 0.0000 0.0000 0.0000
Sn: 0.0000 0.5000 0.5000
Sn: 0.5000 0.0000 0.5000
Sn: 0.5000 0.5000 0.0000
As: 0.0000 0.0000 0.5000
As: 0.0000 0.5000 0.0000
As: 0.5000 0.0000 0.0000
As: 0.5000 0.5000 0.5000
Se: 0.2500 0.2500 0.2500
Se: 0.2500 0.2500 0.7500
Se: 0.2500 0.7500 0.2500
Se: 0.2500 0.7500 0.7500
Se: 0.7500 0.2500 0.2500
Se: 0.7500 0.2500 0.7500
Se: 0.7500 0.7500 0.2500
Se: 0.7500 0.7500 0.7500

[4]
DFT (PBE) results for an optimized crystal structure of FeBRh3.

D(E_F) ... 1.1554 states/eV per atom
ρ ... 7.4 g/cm3
Formation energy from the elements ... 1.8141 eV per atom
Energy above the lowest structure with this stoichiometry ... 1885 meV/atom
VASP energy ... -5.62 eV per atom
Magnetic moment ... 0.00 μB/f.u.

Unit cell a=4.3907 b=4.3907 c=4.3907 alpha=90.00 beta=90.00 gamma=90.00
Fractional positions:
Fe: 0.0000 0.0000 0.0000
B: 0.5000 0.5000 0.5000
Rh: 0.0000 0.0000 0.5000
Rh: 0.0000 0.5000 0.0000
Rh: 0.5000 0.0000 0.0000

[5]
DFT (PBE) results for an optimized crystal structure of YAlIn2.

D(E_F) ... 0.6404 states/eV per atom
ρ ... 5.9 g/cm3
Formation energy from the elements ... -0.2135 eV per atom
VASP energy ... -4.13 eV per atom
Magnetic moment ... 0.00 μB/f.u.

Unit cell a=3.2156 b=5.1029 c=5.9015 alpha=90.00 beta=90.00 gamma=90.00
Fractional positions:
Y: 0.0000 0.0000 0.0000
Al: 0.5000 0.0000 0.5000
In: 0.5000 0.5000 0.2477
In: 0.5000 0.5000 0.7523

[6]
DFT (PBE) results for an optimized crystal structure of K2PtI4.

D(E_F) ... 0.0556 states/eV per atom
Formation energy (no corrections) ... -5.87 eV per formula unit
ρ ... 4.6 g/cm3
VASP energy ... -2.90 eV per atom
Magnetic moment ... 0.00 μB/f.u.

Unit cell a=5.7343 b=5.7343 c=17.1635 alpha=90.00 beta=90.00 gamma=90.00
Fractional positions:
K: 0.0000 0.0000 0.1316
K: 0.0000 0.0000 0.8684
K: 0.5000 0.5000 0.3684
K: 0.5000 0.5000 0.6316
Pt: 0.0000 0.0000 0.5000
Pt: 0.5000 0.5000 0.0000
I: 0.0000 0.0000 0.3429
I: 0.0000 0.0000 0.6571
I: 0.0000 0.5000 0.0000
I: 0.0000 0.5000 0.5000
I: 0.5000 0.0000 0.0000
I: 0.5000 0.0000 0.5000
I: 0.5000 0.5000 0.1571
I: 0.5000 0.5000 0.8429

[7]
DFT (PBE) results for an optimized crystal structure of Np2PbS4.

D(E_F) ... 2.7824 states/eV per atom
Formation energy (no corrections) ... -7.71 eV per formula unit
ρ ... 7.7 g/cm3
Energy above the lowest structure with this stoichiometry ... 0 meV/atom
VASP energy ... -7.69 eV per atom
Magnetic moment ... 8.00 μB/f.u.

Unit cell a=6.7971 b=6.7971 c=13.5354 alpha=90.00 beta=90.00 gamma=145.83
Fractional positions:
Np: 0.1328 0.8672 0.5650
Np: 0.1328 0.8672 0.9350
Np: 0.8672 0.1328 0.0650
Np: 0.8672 0.1328 0.4350
Pb: 0.3909 0.6091 0.7500
Pb: 0.6091 0.3909 0.2500
S: 0.0496 0.9504 0.7500
S: 0.2338 0.7662 0.1125
S: 0.2338 0.7662 0.3875
S: 0.5000 0.5000 0.0000
S: 0.5000 0.5000 0.5000
S: 0.7662 0.2338 0.6125
S: 0.7662 0.2338 0.8875
S: 0.9504 0.0496 0.2500

[8]
DFT (PBE) results for an optimized crystal structure of Li2TaTl.

D(E_F) ... 0.5489 states/eV per atom
ρ ... 8.8 g/cm3
Formation energy from the elements ... 0.3541 eV per atom
VASP energy ... -4.16 eV per atom
Magnetic moment ... 0.00 μB/f.u.

Unit cell a=3.0950 b=4.8548 c=4.9909 alpha=90.00 beta=90.00 gamma=90.00
Fractional positions:
Li: 0.0000 0.0000 0.0000
Li: 0.5000 0.0000 0.5000
Ta: 0.0000 0.5000 0.5000
Tl: 0.5000 0.5000 0.0000

[9]
DFT (PBE) results for an optimized crystal structure of KTlPd3.

D(E_F) ... 0.0784 states/eV per atom
ρ ... 7.2 g/cm3
Formation energy from the elements ... 1.0703 eV per atom
Energy above the lowest structure with this stoichiometry ... 1140 meV/atom
VASP energy ... -2.74 eV per atom
Magnetic moment ... 0.00 μB/f.u.

Unit cell a=5.0639 b=5.0639 c=5.0639 alpha=90.00 beta=90.00 gamma=90.00
Fractional positions:
K: 0.0000 0.0000 0.0000
Tl: 0.5000 0.5000 0.5000
Pd: 0.0000 0.0000 0.5000
Pd: 0.0000 0.5000 0.0000
Pd: 0.5000 0.0000 0.0000

[10]
DFT (PBE) results for an optimized crystal structure of Tm2ZnRh3.

D(E_F) ... 0.6635 states/eV per atom
ρ ... 11.2 g/cm3
Formation energy from the elements ... -0.7576 eV per atom
VASP energy ... -6.14 eV per atom
Magnetic moment ... 0.00 μB/f.u.

Unit cell a=5.5094 b=5.5094 c=8.0365 alpha=90.00 beta=90.00 gamma=120.00
Fractional positions:
Tm: 0.3333 0.6667 0.0585
Tm: 0.3333 0.6667 0.4415
Tm: 0.6667 0.3333 0.5585
Tm: 0.6667 0.3333 0.9415
Zn: 0.0000 0.0000 0.0000
Zn: 0.0000 0.0000 0.5000
Rh: 0.1691 0.3382 0.7500
Rh: 0.1691 0.8309 0.7500
Rh: 0.3382 0.1691 0.2500
Rh: 0.6618 0.8309 0.7500
Rh: 0.8309 0.1691 0.2500
Rh: 0.8309 0.6618 0.2500

[11]
DFT (PBE) results for an optimized crystal structure of NaCaNb2Bi.

D(E_F) ... 1.0146 states/eV per atom
ρ ... 5.4 g/cm3
Formation energy from the elements ... 1.7022 eV per atom
VASP energy ... -3.77 eV per atom
Magnetic moment ... 0.00 μB/f.u.

Unit cell a=4.9593 b=4.9593 c=5.7368 alpha=90.00 beta=90.00 gamma=90.00
Fractional positions:
Na: 0.0000 0.0000 0.0000
Ca: 0.5000 0.5000 0.5000
Nb: 0.0000 0.5000 0.5000
Nb: 0.5000 0.0000 0.5000
Bi: 0.5000 0.5000 0.0000

[12]
DFT (PBE) results for an optimized crystal structure of In2Ge2Br.

D(E_F) ... 0.2218 states/eV per atom
Formation energy (no corrections) ... 0.38 eV per formula unit
ρ ... 5.6 g/cm3
Energy above the lowest structure with this stoichiometry ... 62 meV/atom
VASP energy ... -3.20 eV per atom
Magnetic moment ... 0.00 μB/f.u.

Unit cell a=8.1981 b=8.1981 c=4.0011 alpha=90.00 beta=90.00 gamma=90.00
Fractional positions:
In: 0.1894 0.3106 0.0000
In: 0.3106 0.8106 0.0000
In: 0.6894 0.1894 0.0000
In: 0.8106 0.6894 0.0000
Ge: 0.1060 0.6060 0.5000
Ge: 0.3940 0.1060 0.5000
Ge: 0.6060 0.8940 0.5000
Ge: 0.8940 0.3940 0.5000
Br: 0.0000 0.0000 0.0000
Br: 0.5000 0.5000 0.0000